Entry from the Alexandria database: an optimized crystal structure of CuHg3C (PBE).

abc: 4.689 4.689 4.689
angles: 90.00 90.00 90.00
Fractional coordinates of all 5 atoms:
Hg (0.500, 0.000, 0.000)
Hg (0.000, 0.500, 0.000)
Hg (0.000, 0.000, 0.500)
Cu (0.500, 0.500, 0.500)
C (0.000, 0.000, 0.000)

Results
Fermi-level density of states	2.285	states/eV/f.u.
energy of formation from the pure elements	5.96	eV/f.u.
total magnetic moment	0.0	μB/f.u.
energy above the most stable polymorph in this dataset	0.000	eV/atom
space-group type	Pm-3m